First-principles (GGA-PBEsol) data for crystalline MgMn2Cl at its relaxed geometry, as listed in Alexandria.

## Properties
Its energy above the most stable polymorph in this dataset is 0 meV per atom. The value obtained for the spin magnetization is 1.39 μB/f.u. Its density of states at the Fermi level is 3.78 states/eV/cell. The uncorrected formation energy is 0.04 eV/atom.

Structure (CIF):
```
data_MgMn2Cl
_chemical_formula_sum 'Mg1 Mn2 Cl1'
_symmetry_space_group_name_H-M 'P 4 m m'
_symmetry_Int_Tables_number 99
_cell_length_a 3.002
_cell_length_b 3.002
_cell_length_c 7.541
_cell_angle_alpha 90.00
_cell_angle_beta 90.00
_cell_angle_gamma 90.00
loop_
_symmetry_equiv_pos_as_xyz
'x,y,z'
'-y,x,z'
'-x,-y,z'
'y,-x,z'
'-x,y,z'
'y,x,z'
'x,-y,z'
'-y,-x,z'
loop_
_atom_site_label
_atom_site_type_symbol
_atom_site_fract_x
_atom_site_fract_y
_atom_site_fract_z
_atom_site_occupancy
Mg1 Mg 0.000 0.000 0.000 1
Mn1 Mn 0.000 0.000 0.405 1
Mn2 Mn 0.500 0.500 0.259 1
Cl1 Cl 0.500 0.500 0.799 1
```